1.
Computed, not measured: an optimized crystal structure of Li2MnF4 at the PBE+U level of DFT.

Energy above the most stable polymorph in this dataset = 9 meV/atom
M_tot = 5.00 μB per formula unit

Cell: 6.318 6.101 6.101 Å, 59.06 58.82 58.82°
Atoms (fractional coordinates):
F 0.256 0.736 0.752
Li 0.119 0.131 0.631
Mn 0.500 0.500 0.000
Li 0.881 0.869 0.369
Mn 0.000 0.500 0.000
F 0.744 0.748 0.764
F 0.729 0.254 0.754
F 0.744 0.264 0.248
F 0.737 0.746 0.246
Li 0.500 0.000 0.000
F 0.271 0.746 0.246
Li 0.500 0.500 0.500
F 0.263 0.254 0.754
F 0.256 0.252 0.236

---

2.
Computed, not measured: an optimized crystal structure of Li3Mn2F7 at the PBE+U level of DFT.

Calculated total energy = -0.2055 Ha/atom
M_tot = 10.00 μB per formula unit

Cell: 6.099 6.099 9.914 Å, 80.82 80.82 51.15°
Atoms (fractional coordinates):
F 0.266 0.156 0.331
Li 0.694 0.162 0.164
F 0.156 0.266 0.831
Mn 0.911 0.412 0.656
Li 0.308 0.840 0.836
F 0.424 0.250 0.044
Li 0.001 0.501 0.000
Mn 0.589 0.090 0.844
Mn 0.412 0.911 0.156
F 0.553 0.448 0.750
F 0.846 0.736 0.170
F 0.250 0.424 0.544
F 0.984 0.194 0.126
F 0.807 0.018 0.374
Li 0.840 0.308 0.336
F 0.194 0.984 0.626
F 0.578 0.751 0.957
Li 0.501 0.001 0.500
F 0.018 0.807 0.874
F 0.448 0.553 0.250
F 0.751 0.578 0.457
Li 0.162 0.694 0.664
Mn 0.090 0.589 0.344
F 0.736 0.846 0.670

---

3.
Computed, not measured: an optimized crystal structure of Li2MnF4 at the PBE+U level of DFT.

Energy above the most stable polymorph in this dataset = 48 meV/atom
M_tot = 5.00 μB per formula unit

Cell: 3.286 8.708 8.756 Å, 90.00 90.00 90.00°
Atoms (fractional coordinates):
F 0.500 0.670 0.423
Mn 0.500 0.996 0.750
Li 0.000 0.257 0.011
F 0.500 0.170 0.577
Mn 0.500 0.496 0.250
Li 0.000 0.757 0.989
Li 0.000 0.235 0.512
F 0.000 0.883 0.638
Li 0.000 0.735 0.488
F 0.000 0.609 0.138
F 0.500 0.323 0.077
F 0.000 0.109 0.862
F 0.000 0.383 0.362
F 0.500 0.823 0.923

---

4.
Computed, not measured: an optimized crystal structure of Li2MnF6 at the PBE+U level of DFT.

Energy above the most stable polymorph in this dataset = 1 meV/atom
M_tot = 3.00 μB per formula unit

Cell: 4.660 4.660 8.960 Å, 90.00 90.00 90.00°
Atoms (fractional coordinates):
Li 0.000 0.000 0.663
F 0.310 0.310 0.348
Li 0.500 0.500 0.837
F 0.310 0.310 0.652
F 0.690 0.690 0.652
Li 0.500 0.500 0.163
F 0.190 0.810 0.848
F 0.281 0.281 0.000
F 0.190 0.810 0.152
F 0.690 0.690 0.348
F 0.781 0.219 0.500
F 0.810 0.190 0.848
F 0.810 0.190 0.152
Li 0.000 0.000 0.337
Mn 0.000 0.000 0.000
F 0.219 0.781 0.500
F 0.719 0.719 0.000
Mn 0.500 0.500 0.500

---

5.
Computed, not measured: an optimized crystal structure of Li2MnF6 at the PBE+U level of DFT.

Energy above the most stable polymorph in this dataset = 49 meV/atom
M_tot = 3.00 μB per formula unit

Cell: 6.228 6.228 6.151 Å, 90.00 90.00 90.00°
Atoms (fractional coordinates):
F 0.001 0.299 0.000
F 0.000 0.000 0.293
F 0.499 0.799 0.500
F 0.000 0.000 0.707
F 0.701 0.001 0.000
Mn 0.500 0.500 0.500
F 0.799 0.501 0.500
F 0.201 0.499 0.500
Li 0.500 0.000 0.750
F 0.501 0.201 0.500
F 0.999 0.701 0.000
F 0.299 0.999 0.000
Li 0.000 0.500 0.750
Li 0.000 0.500 0.250
F 0.500 0.500 0.207
Li 0.500 0.000 0.250
F 0.500 0.500 0.793
Mn 0.000 0.000 0.000

---

6.
Computed, not measured: an optimized crystal structure of LiMnF4 at the PBE+U level of DFT.

Calculated total energy = -0.1997 Ha/atom
M_tot = 4.00 μB per formula unit

Cell: 4.903 5.989 10.398 Å, 90.10 90.00 90.00°
Atoms (fractional coordinates):
Mn 0.478 0.369 0.865
F 0.826 0.607 0.285
Mn 0.522 0.631 0.135
F 0.674 0.607 0.785
F 0.174 0.393 0.715
F 0.673 0.142 0.782
Mn 0.022 0.369 0.365
F 0.827 0.142 0.282
F 0.801 0.858 0.547
Li 0.455 0.877 0.859
F 0.327 0.858 0.218
Li 0.545 0.123 0.141
F 0.199 0.142 0.453
Li 0.045 0.877 0.359
F 0.173 0.858 0.718
F 0.326 0.393 0.215
F 0.288 0.602 0.954
F 0.212 0.602 0.454
F 0.699 0.858 0.047
Mn 0.978 0.631 0.635
F 0.301 0.142 0.953
Li 0.955 0.123 0.641
F 0.788 0.398 0.546
F 0.712 0.398 0.046

---

| no. | density (kg/m³) | calculated volume (Å³/cell) |
| --- | --- | --- |
| 1 | 2967 | 162 |
| 2 | 3098 | 283 |
| 3 | 1919 | 251 |
| 4 | 3120 | 195 |
| 5 | 2545 | 239 |
| 6 | 2999 | 305 |